Entry a
VASP calculation (PBE-GGA) on crystalline ScReS3 at its relaxed geometry.

a b c (Å): 4.8501 4.8501 4.8501
angles (deg): 90.00 90.00 90.00
Positions (direct):
Sc (0.0000, 0.0000, 0.0000)
Re (0.5000, 0.5000, 0.5000)
S (0.0000, 0.0000, 0.5000)
S (0.0000, 0.5000, 0.0000)
S (0.5000, 0.0000, 0.0000)

Results
symmetry: Pm-3m (221)
density: 4.8 g/cm³

Entry b
VASP calculation (PBE-GGA) on crystalline ScReS3 at its relaxed geometry.

a b c (Å): 4.6365 4.6365 4.6365
angles (deg): 90.00 90.00 90.00
Positions (direct):
Sc (0.0000, 0.0000, 0.0000)
Re (0.5000, 0.5000, 0.5000)
S (0.0000, 0.5000, 0.5000)
S (0.5000, 0.0000, 0.5000)
S (0.5000, 0.5000, 0.0000)

Results
symmetry: Pm-3m (221)
density: 5.5 g/cm³

What should be chosen as the least stable of them? Choose entry a.